Run A
First-principles (PBE-GGA) data for TbEr4Ni2 after structural relaxation, as listed in the Alexandria database.

The calculation puts the magnetic moment at 0.00 μB per formula unit. For the mass density, the calculation gives 9.1 Mg/m³.

The space group is P2_1/m (No. 11) and the conventional cell measures 7.4833, 6.3364 and 7.8274 Å, with angles of 90.00, 112.36 and 90.00 degrees. The asymmetric unit holds Tb at (0.1497, 0.2500, 0.0252), Er at (0.0261, 0.2500, 0.3878), Er at (0.2528, 0.7500, 0.3451), Er at (0.4081, 0.0040, 0.7671), Ni at (0.2583, 0.7500, 0.9936) and Ni at (0.3818, 0.2500, 0.4147).

---

Run B
First-principles (PBE-GGA) data for TbEr4Ni2 after structural relaxation, as listed in the Alexandria database.

The calculation puts the magnetic moment at 0.00 μB per formula unit. For the mass density, the calculation gives 8.4 Mg/m³.

The space group is R-3m (No. 166, hexagonal axes) and the conventional cell measures 3.8795, 3.8795 and 43.0322 Å, with angles of 90.00, 90.00 and 120.00 degrees. The asymmetric unit holds Tb at (0.0000, 0.0000, 0.0000), Er at (0.0000, 0.0000, 0.2000), Er at (0.0000, 0.0000, 0.3988) and Ni at (0.0000, 0.0000, 0.0996).

---

Q: Which of them is the most stable? A: run A.

---

Run A
First-principles (PBE-GGA) data for TbErZnNi after structural relaxation, as listed in the Alexandria database.

The calculation puts the magnetic moment at 0.00 μB per formula unit. For the mass density, the calculation gives 9.0 Mg/m³.

The space group is F-43m (No. 216) and the conventional cell measures 6.9236, 6.9236 and 6.9236 Å, with angles of 90.00, 90.00 and 90.00 degrees. The asymmetric unit holds Tb at (0.0000, 0.0000, 0.0000), Er at (0.0000, 0.0000, 0.5000), Zn at (0.2500, 0.2500, 0.2500) and Ni at (0.2500, 0.2500, 0.7500).

---

Run B
First-principles (PBE-GGA) data for TbErZnNi after structural relaxation, as listed in the Alexandria database.

The calculation puts the magnetic moment at 0.00 μB per formula unit. For the mass density, the calculation gives 9.0 Mg/m³.

The space group is P4mm (No. 99) and the conventional cell measures 3.4549, 3.4549 and 6.9534 Å, with angles of 90.00, 90.00 and 90.00 degrees. The asymmetric unit holds Tb at (0.0000, 0.0000, 0.0000), Er at (0.0000, 0.0000, 0.5316), Zn at (0.5000, 0.5000, 0.2719) and Ni at (0.5000, 0.5000, 0.7587).

---

Q: Which of them is the most stable? A: run B.

---

Run A
First-principles (PBE-GGA) data for Er4TcNi after structural relaxation, as listed in the Alexandria database.

The calculation puts the magnetic moment at 0.00 μB per formula unit. For the mass density, the calculation gives 8.4 Mg/m³.

The space group is I4_1md (No. 109) and the conventional cell measures 9.0216, 9.0216 and 8.0218 Å, with angles of 90.00, 90.00 and 90.00 degrees. The asymmetric unit holds Er at (0.0000, 0.2946, 0.0000), Er at (0.0000, 0.2987, 0.5060), Tc at (0.0000, 0.0000, 0.5104) and Ni at (0.0000, 0.0000, 0.0005).

---

Run B
First-principles (PBE-GGA) data for Er4TcNi after structural relaxation, as listed in the Alexandria database.

The calculation puts the magnetic moment at 0.00 μB per formula unit. For the mass density, the calculation gives 9.7 Mg/m³.

The space group is Pnma (No. 62) and the conventional cell measures 7.3089, 4.3601 and 17.6869 Å, with angles of 90.00, 90.00 and 90.00 degrees. The asymmetric unit holds Er at (0.0105, 0.2500, 0.0758), Er at (0.0763, 0.2500, 0.7791), Er at (0.0895, 0.2500, 0.3505), Er at (0.1507, 0.2500, 0.5451), Tc at (0.2505, 0.2500, 0.9376) and Ni at (0.2251, 0.2500, 0.2056).

---

Q: Which of them is the most stable? A: run B.

---

Run A
First-principles (PBE-GGA) data for Er3NiTe after structural relaxation, as listed in the Alexandria database.

The calculation puts the magnetic moment at 0.00 μB per formula unit. For the mass density, the calculation gives 9.0 Mg/m³.

The space group is C2/m (No. 12) and the conventional cell measures 15.2642, 3.9244 and 8.4410 Å, with angles of 90.00, 92.46 and 90.00 degrees. The asymmetric unit holds Er at (0.0440, 0.0000, 0.2149), Er at (0.1056, 0.5000, 0.5460), Er at (0.2440, 0.5000, 0.2238), Ni at (0.2047, 0.0000, 0.4303) and Te at (0.1129, 0.5000, 0.9286).

---

Run B
First-principles (PBE-GGA) data for Er3NiTe after structural relaxation, as listed in the Alexandria database.

The calculation puts the magnetic moment at 0.00 μB per formula unit. For the mass density, the calculation gives 8.5 Mg/m³.

The space group is P2_1/m (No. 11) and the conventional cell measures 7.1787, 3.8728 and 9.6820 Å, with angles of 90.00, 92.35 and 90.00 degrees. The asymmetric unit holds Er at (0.0086, 0.2500, 0.2466), Er at (0.3052, 0.7500, 0.4641), Er at (0.4820, 0.7500, 0.8053), Ni at (0.0781, 0.2500, 0.5586) and Te at (0.2292, 0.2500, 0.9597).

---

Q: Which of them is the most stable? A: run A.

---

Run A
First-principles (PBE-GGA) data for Er6NiTe3 after structural relaxation, as listed in the Alexandria database.

The calculation puts the magnetic moment at 0.00 μB per formula unit. For the mass density, the calculation gives 8.5 Mg/m³.

The space group is Cmc2_1 (No. 36) and the conventional cell measures 10.5414, 15.4740 and 6.8996 Å, with angles of 90.00, 90.00 and 90.00 degrees. The asymmetric unit holds Er at (0.0000, 0.0090, 0.0000), Er at (0.0000, 0.2328, 0.9432), Er at (0.1610, 0.2624, 0.4342), Er at (0.1974, 0.4267, 0.8085), Ni at (0.0000, 0.1436, 0.2652), Te at (0.0000, 0.4378, 0.4808) and Te at (0.1877, 0.1026, 0.7140).

---

Run B
First-principles (PBE-GGA) data for Er6NiTe3 after structural relaxation, as listed in the Alexandria database.

The calculation puts the magnetic moment at 0.00 μB per formula unit. For the mass density, the calculation gives 8.6 Mg/m³.

The space group is P2_1/m (No. 11) and the conventional cell measures 12.0009, 3.8934 and 12.4511 Å, with angles of 90.00, 105.30 and 90.00 degrees. The asymmetric unit holds Er at (0.0125, 0.2500, 0.3511), Er at (0.0814, 0.2500, 0.8892), Er at (0.2752, 0.7500, 0.3170), Er at (0.2833, 0.7500, 0.7652), Er at (0.4050, 0.2500, 0.5605), Er at (0.4585, 0.7500, 0.1524), Ni at (0.4516, 0.2500, 0.3225), Te at (0.1217, 0.2500, 0.1464), Te at (0.1723, 0.7500, 0.5162) and Te at (0.3439, 0.2500, 0.9625).

---

Q: Which of them is the most stable? A: run B.

---

Run A
First-principles (PBE-GGA) data for Er5NiTe2 after structural relaxation, as listed in the Alexandria database.

The calculation puts the magnetic moment at 0.00 μB per formula unit. For the mass density, the calculation gives 9.0 Mg/m³.

The space group is Pbam (No. 55) and the conventional cell measures 8.1240, 13.0819 and 3.9786 Å, with angles of 90.00, 90.00 and 90.00 degrees. The asymmetric unit holds Er at (0.0000, 0.0000, 0.0000), Er at (0.1658, 0.3197, 0.0000), Er at (0.1664, 0.5843, 0.5000), Ni at (0.0000, 0.5000, 0.0000) and Te at (0.0355, 0.8175, 0.5000).

---

Run B
First-principles (PBE-GGA) data for Er5NiTe2 after structural relaxation, as listed in the Alexandria database.

The calculation puts the magnetic moment at 0.00 μB per formula unit. For the mass density, the calculation gives 7.0 Mg/m³.

The space group is Cmcm (No. 63) and the conventional cell measures 5.0032, 16.1965 and 13.4039 Å, with angles of 90.00, 90.00 and 90.00 degrees. The asymmetric unit holds Er at (0.0000, 0.1005, 0.1130), Er at (0.0000, 0.2613, 0.7500), Er at (0.0000, 0.3097, 0.0731), Ni at (0.0000, 0.2188, 0.2500) and Te at (0.0000, 0.0873, 0.6162).

---

Q: Which of them is the most stable? A: run A.

---

Run A
First-principles (PBE-GGA) data for Er6Ni2Te after structural relaxation, as listed in the Alexandria database.

The calculation puts the magnetic moment at 0.00 μB per formula unit. For the mass density, the calculation gives 9.2 Mg/m³.

The space group is Immm (No. 71) and the conventional cell measures 9.1481, 9.7169 and 10.1874 Å, with angles of 90.00, 90.00 and 90.00 degrees. The asymmetric unit holds Er at (0.0000, 0.2080, 0.2256), Er at (0.1876, 0.5000, 0.1742), Er at (0.2029, 0.3199, 0.5000), Ni at (0.0000, 0.3577, 0.0000), Ni at (0.0000, 0.5000, 0.3753), Te at (0.0000, 0.0000, 0.0000) and Te at (0.0000, 0.0000, 0.5000).

---

Run B
First-principles (PBE-GGA) data for Er6Ni2Te after structural relaxation, as listed in the Alexandria database.

The calculation puts the magnetic moment at 0.00 μB per formula unit. For the mass density, the calculation gives 8.9 Mg/m³.

The space group is C2/c (No. 15) and the conventional cell measures 15.2964, 10.2044 and 6.2954 Å, with angles of 90.00, 108.36 and 90.00 degrees. The asymmetric unit holds Er at (0.1022, 0.0967, 0.1172), Er at (0.1151, 0.4382, 0.1887), Er at (0.1884, 0.2355, 0.6854), Ni at (0.2391, 0.0015, 0.4610) and Te at (0.0000, 0.3070, 0.7500).

---

Q: Which of them is the most stable? A: run A.

---

Run A
First-principles (PBE-GGA) data for ErThNi after structural relaxation, as listed in the Alexandria database.

The calculation puts the magnetic moment at 0.00 μB per formula unit. For the mass density, the calculation gives 9.8 Mg/m³.

The space group is F-43m (No. 216) and the conventional cell measures 6.7711, 6.7711 and 6.7711 Å, with angles of 90.00, 90.00 and 90.00 degrees. The asymmetric unit holds Er at (0.0000, 0.0000, 0.0000), Th at (0.0000, 0.0000, 0.5000) and Ni at (0.2500, 0.2500, 0.2500).

---

Run B
First-principles (PBE-GGA) data for ErThNi after structural relaxation, as listed in the Alexandria database.

The calculation puts the magnetic moment at 0.00 μB per formula unit. For the mass density, the calculation gives 9.8 Mg/m³.

The space group is P3m1 (No. 156) and the conventional cell measures 3.7594, 3.7594 and 6.3474 Å, with angles of 90.00, 90.00 and 120.00 degrees. The asymmetric unit holds Er at (0.0000, 0.0000, 0.0000), Th at (0.6667, 0.3333, 0.4680) and Ni at (0.3333, 0.6667, 0.7323).

---

Run C
First-principles (PBE-GGA) data for ErThNi after structural relaxation, as listed in the Alexandria database.

The calculation puts the magnetic moment at 0.00 μB per formula unit. For the mass density, the calculation gives 10.5 Mg/m³.

The space group is I4mm (No. 107) and the conventional cell measures 3.4776, 3.4776 and 11.9630 Å, with angles of 90.00, 90.00 and 90.00 degrees. The asymmetric unit holds Er at (0.0000, 0.0000, 0.0000), Th at (0.0000, 0.0000, 0.7227) and Ni at (0.0000, 0.0000, 0.3563).

---

Q: Which of them is the most stable? A: run C.

---

Run A
First-principles (PBE-GGA) data for Er2ThNi6 after structural relaxation, as listed in the Alexandria database.

The calculation puts the magnetic moment at 0.00 μB per formula unit. For the mass density, the calculation gives 9.8 Mg/m³.

The space group is P6/mmm (No. 191) and the conventional cell measures 7.0238, 7.0238 and 3.6463 Å, with angles of 90.00, 90.00 and 120.00 degrees. The asymmetric unit holds Er at (0.3333, 0.6667, 0.0000), Th at (0.0000, 0.0000, 0.0000) and Ni at (0.0000, 0.3346, 0.5000).

---

Run B
First-principles (PBE-GGA) data for Er2ThNi6 after structural relaxation, as listed in the Alexandria database.

The calculation puts the magnetic moment at 0.00 μB per formula unit. For the mass density, the calculation gives 9.7 Mg/m³.

The space group is Immm (No. 71) and the conventional cell measures 3.5589, 6.8804 and 12.8635 Å, with angles of 90.00, 90.00 and 90.00 degrees. The asymmetric unit holds Er at (0.0000, 0.0000, 0.1431), Th at (0.0000, 0.5000, 0.0000), Ni at (0.0000, 0.1826, 0.3288) and Ni at (0.0000, 0.3218, 0.5000).

---

Q: Which of them is the most stable? A: run A.

---

Run A
First-principles (PBE-GGA) data for ErTiNi2 after structural relaxation, as listed in the Alexandria database.

The calculation puts the magnetic moment at 0.00 μB per formula unit. For the mass density, the calculation gives 8.6 Mg/m³.

The space group is P4/mmm (No. 123) and the conventional cell measures 3.1188, 3.1188 and 6.6115 Å, with angles of 90.00, 90.00 and 90.00 degrees. The asymmetric unit holds Er at (0.0000, 0.0000, 0.0000), Ti at (0.0000, 0.0000, 0.5000) and Ni at (0.5000, 0.5000, 0.3000).

---

Run B
First-principles (PBE-GGA) data for ErTiNi2 after structural relaxation, as listed in the Alexandria database.

The calculation puts the magnetic moment at 0.00 μB per formula unit. For the mass density, the calculation gives 8.6 Mg/m³.

The space group is P4/mmm (No. 123) and the conventional cell measures 4.4920, 4.4920 and 3.1790 Å, with angles of 90.00, 90.00 and 90.00 degrees. The asymmetric unit holds Er at (0.0000, 0.0000, 0.0000), Ti at (0.5000, 0.5000, 0.0000) and Ni at (0.0000, 0.5000, 0.5000).

---

Q: Which of them is the most stable? A: run A.